This record from the Alexandria database describes an optimized crystal structure of AlCuAs2. The functional is PBEsol.

## Properties
Its formation energy is 18 kJ/mol of atoms. Its density of states at the Fermi level is 1.50 states/eV/f.u.

Geometry as CIF:
```
data_AlCuAs2
_chemical_formula_sum 'Al1 Cu1 As2'
_symmetry_space_group_name_H-M 'P 4/m m m'
_symmetry_Int_Tables_number 123
_symmetry_space_group_name_Hall '-P 4 2'
_cell_length_a 2.9946
_cell_length_b 2.9946
_cell_length_c 7.1717
_cell_angle_alpha 90.00
_cell_angle_beta 90.00
_cell_angle_gamma 90.00
loop_
_atom_site_label
_atom_site_fract_x
_atom_site_fract_y
_atom_site_fract_z
Al1 0.0000 0.0000 0.0000
Cu1 0.0000 0.0000 0.5000
As1 0.5000 0.5000 0.2663
```

---

This record from the Alexandria database describes an optimized crystal structure of Y2TlPb. The functional is PBEsol.

## Properties
Its formation energy is -48 kJ/mol of atoms. Its density of states at the Fermi level is 2.97 states/eV/f.u.

Geometry as CIF:
```
data_Y2TlPb
_chemical_formula_sum 'Y2 Tl1 Pb1'
_symmetry_space_group_name_H-M 'P m m m'
_symmetry_Int_Tables_number 47
_symmetry_space_group_name_Hall '-P 2 2'
_cell_length_a 3.5178
_cell_length_b 4.2152
_cell_length_c 7.1177
_cell_angle_alpha 90.00
_cell_angle_beta 90.00
_cell_angle_gamma 90.00
loop_
_atom_site_label
_atom_site_fract_x
_atom_site_fract_y
_atom_site_fract_z
Y1 0.0000 0.0000 0.2493
Tl1 0.5000 0.5000 0.0000
Pb1 0.5000 0.5000 0.5000
```